# 1
3
Lattice="0.0000 2.3247 7.1747 1.5176 0.0000 7.1747 1.5176 2.3247 0.0000" Properties=species:S:1:pos:R:3 comment="CdRuW GGA-PBE relaxed" space_group="Fmm2 (42)" final_energy_ev_per_atom=-7.317 vol_a3_per_fu=50.62 dos_ef_per_ev_fu=3.70 mass_density_g_cm3=13.0 pbc="T T T"
Cd 0.0000 0.0000 0.0000
Ru 1.5176 2.3247 4.6880
W 1.5176 2.3247 9.7749

=====

# 2
5
Lattice="4.2752 0.0000 0.0000 0.0000 4.2752 0.0000 0.0000 0.0000 4.9687" Properties=species:S:1:pos:R:3 comment="SrRu2RhF GGA-PBE relaxed" raw_formation_energy_ev_per_atom=0.667 space_group="P4/mmm (123)" final_energy_ev_per_atom=-5.224 vol_a3_per_fu=90.81 dos_ef_per_ev_fu=7.39 mass_density_g_cm3=7.5 pbc="T T T"
Sr 0.0000 0.0000 0.0000
Ru 0.0000 2.1376 2.4843
Ru 2.1376 0.0000 2.4843
Rh 2.1376 2.1376 0.0000
F 2.1376 2.1376 2.4843

=====

# 3
5
Lattice="4.6102 0.0000 0.0000 0.0000 4.6102 0.0000 0.0000 0.0000 4.9471" Properties=species:S:1:pos:R:3 comment="Mn2TcAgW GGA-PBE relaxed" space_group="P4/mmm (123)" final_energy_ev_per_atom=-6.727 vol_a3_per_fu=105.15 dos_ef_per_ev_fu=5.41 mass_density_g_cm3=7.9 pbc="T T T"
Mn 0.0000 2.3051 0.0000
Mn 2.3051 0.0000 0.0000
Tc 0.0000 0.0000 2.4736
Ag 2.3051 2.3051 0.0000
W 2.3051 2.3051 2.4736

=====

# 4
5
Lattice="4.8192 0.0000 0.0000 0.0000 4.8192 0.0000 0.0000 0.0000 4.8708" Properties=species:S:1:pos:R:3 comment="LiSc2CrIn GGA-PBE relaxed" space_group="P4/mmm (123)" final_energy_ev_per_atom=-4.935 vol_a3_per_fu=113.12 dos_ef_per_ev_fu=4.32 mass_density_g_cm3=3.9 pbc="T T T"
Li 0.0000 0.0000 0.0000
Sc 0.0000 2.4096 2.4354
Sc 2.4096 0.0000 2.4354
Cr 0.0000 0.0000 2.4354
In 2.4096 2.4096 0.0000